Entry 1:
Compound: Ba2NaIn3Hg4
Source: the Alexandria database
Functional: PBE-GGA
Structure: relaxed

Output
Final energy, eV per atom: -1.8107
Fermi-level density of states, states/eV/cell: 6.52
Symmetry: P-4m2 (115)

a b c (Å): 5.133 5.133 11.645
angles (deg): 90.00 90.00 90.00
Fractional positions:
Ba  0.500  0.000  0.235
Ba  0.000  0.500  0.765
Na  0.500  0.500  0.500
In  0.000  0.000  0.500
In  0.500  0.000  0.871
In  0.000  0.500  0.129
Hg  0.500  0.500  0.000
Hg  0.000  0.000  0.000
Hg  0.500  0.000  0.627
Hg  0.000  0.500  0.373



Entry 2:
Compound: Pm6Ge3P2Se
Source: the Alexandria database
Functional: PBE-GGA
Structure: relaxed

Output
Formation energy from raw total energies, meV/atom: -1209.4
Fermi-level density of states, states/eV/cell: 7.41
Symmetry: C2/m (12)

a b c (Å): 4.116 8.600 9.509
angles (deg): 105.46 102.50 90.00
Fractional positions:
Pm  0.333  0.906  0.666
Pm  0.670  0.574  0.339
Pm  0.667  0.094  0.334
Pm  0.003  0.253  0.007
Pm  0.997  0.747  0.993
Pm  0.330  0.426  0.661
Ge  0.500  0.500  0.000
Ge  0.835  0.167  0.670
Ge  0.165  0.833  0.330
P  0.834  0.668  0.667
P  0.166  0.332  0.333
Se  0.500  0.000  0.000



Entry 3:
Compound: TiMnV
Source: the Alexandria database
Functional: PBE-GGA
Structure: relaxed

Output
E above lowest polymorph, meV per atom: 108.1
Fermi-level density of states, states/eV/cell: 2.55
Symmetry: P3m1 (156)

a b c (Å): 2.786 4.078 4.078
angles (deg): 120.00 90.00 90.00
Fractional positions:
Mn  0.682  0.333  0.667
Ti  0.356  0.667  0.333
V  0.962  0.000  0.000



Entry 4:
Compound: SiAg2PbS4
Source: the Alexandria database
Functional: PBE-GGA
Structure: relaxed

Output
Formation energy from raw total energies, meV/atom: -411.3
Fermi-level density of states, states/eV/cell: 0.00
Symmetry: Fmm2 (42)

a b c (Å): 6.011 6.011 6.606
angles (deg): 112.67 112.67 98.79
Fractional positions:
Si  0.492  0.492  0.985
Ag  0.757  0.257  0.514
Ag  0.257  0.757  0.514
Pb  0.044  0.044  0.087
S  0.592  0.592  0.741
S  0.413  0.797  0.210
S  0.797  0.413  0.210
S  0.148  0.148  0.741



Entry 5:
Compound: In3CoPt
Source: the Alexandria database
Functional: PBE-GGA
Structure: relaxed

Output
E above lowest polymorph, meV per atom: 0.0
Fermi-level density of states, states/eV/cell: 2.91
Symmetry: Pm-3m (221)

a b c (Å): 4.819 4.819 4.819
angles (deg): 90.00 90.00 90.00
Fractional positions:
Co  0.000  0.000  0.000
Pt  0.500  0.500  0.500
In  0.000  0.500  0.000
In  0.000  0.000  0.500
In  0.500  0.000  0.000



Entry 6:
Compound: LiAgSe2
Source: the Alexandria database
Functional: PBE-GGA
Structure: relaxed

Output
E above lowest polymorph, meV per atom: 439.1
Formation energy from raw total energies, meV/atom: 10.2
Fermi-level density of states, states/eV/cell: 3.45
Symmetry: F-43m (216)

a b c (Å): 4.803 4.803 4.803
angles (deg): 60.00 60.00 60.00
Fractional positions:
Ag  0.500  0.500  0.500
Li  0.750  0.750  0.750
Se  0.000  0.000  0.000
Se  0.250  0.250  0.250



Entry 7:
Compound: In2Ga2SnRh5
Source: the Alexandria database
Functional: PBE-GGA
Structure: relaxed

Output
Final energy, eV per atom: -5.6149
Fermi-level density of states, states/eV/cell: 7.52
Symmetry: P4/mbm (127)

a b c (Å): 3.569 9.671 9.671
angles (deg): 90.00 90.00 90.00
Fractional positions:
In  0.000  0.669  0.169
In  0.000  0.331  0.831
In  0.000  0.169  0.331
In  0.000  0.831  0.669
Ga  0.000  0.128  0.628
Ga  0.000  0.872  0.372
Ga  0.000  0.628  0.872
Ga  0.000  0.372  0.128
Sn  0.000  0.000  0.000
Sn  0.000  0.500  0.500
Rh  0.500  0.192  0.094
Rh  0.500  0.808  0.906
Rh  0.500  0.094  0.808
Rh  0.500  0.692  0.406
Rh  0.500  0.906  0.192
Rh  0.500  0.308  0.594
Rh  0.500  0.594  0.692
Rh  0.500  0.406  0.308
Rh  0.500  0.500  0.000
Rh  0.500  0.000  0.500



Entry 8:
Compound: RhPbSe
Source: the Alexandria database
Functional: PBE-GGA
Structure: relaxed

Output
E above lowest polymorph, meV per atom: 56.1
Formation energy from raw total energies, meV/atom: -226.2
Fermi-level density of states, states/eV/cell: 6.38
Symmetry: Fdd2 (43)

a b c (Å): 6.611 6.611 7.624
angles (deg): 105.22 105.22 113.23
Fractional positions:
Rh  0.005  0.964  0.540
Rh  0.215  0.673  0.960
Rh  0.423  0.465  0.460
Rh  0.714  0.255  0.040
Pb  0.710  0.897  0.169
Pb  0.291  0.977  0.331
Pb  0.647  0.960  0.669
Pb  0.727  0.541  0.831
Se  0.139  0.400  0.627
Se  0.150  0.389  0.127
Se  0.262  0.023  0.873
Se  0.773  0.512  0.373



Entry 9:
Compound: CrIr
Source: the Alexandria database
Functional: PBE-GGA
Structure: relaxed

Output
Final energy, eV per atom: -9.3779
Fermi-level density of states, states/eV/cell: 4.48
Symmetry: I4_1/amd (141)

a b c (Å): 3.729 3.729 4.622
angles (deg): 66.21 66.21 90.00
Fractional positions:
Cr  0.000  0.000  0.000
Cr  0.750  0.250  0.500
Ir  0.250  0.750  0.500
Ir  0.500  0.500  0.000



Entry 10:
Compound: Rb3SrSc
Source: the Alexandria database
Functional: PBE-GGA
Structure: relaxed

Output
E above lowest polymorph, meV per atom: 264.1
Fermi-level density of states, states/eV/cell: 15.00
Symmetry: Pm-3m (221)

a b c (Å): 7.839 7.839 7.839
angles (deg): 90.00 90.00 90.00
Site moments in Bohr magnetons follow the coordinates.
Fractional positions:
Sc  0.500  0.500  0.500  0.94
Sr  0.000  0.000  0.000  0.01
Rb  0.000  0.500  0.000  0.00
Rb  0.000  0.000  0.500  0.00
Rb  0.500  0.000  0.000  0.00



Entry 11:
Compound: HoErScZn
Source: the Alexandria database
Functional: PBE-GGA
Structure: relaxed

Output
E above lowest polymorph, meV per atom: 0.0
Fermi-level density of states, states/eV/cell: 4.32
Symmetry: P4mm (99)

a b c (Å): 3.491 3.491 8.234
angles (deg): 90.00 90.00 90.00
Fractional positions:
Ho  0.500  0.500  0.789
Er  0.500  0.500  0.354
Sc  0.000  0.000  0.072
Zn  0.000  0.000  0.570



Entry 12:
Compound: Ca2YMo
Source: the Alexandria database
Functional: PBE-GGA
Structure: relaxed

Output
E above lowest polymorph, meV per atom: 135.2
Fermi-level density of states, states/eV/cell: 4.40
Symmetry: Imm2 (44)

a b c (Å): 6.718 6.718 6.718
angles (deg): 150.29 127.24 61.73
Site moments in Bohr magnetons follow the coordinates.
Fractional positions:
Y  0.300  0.800  0.500  0.05
Mo  0.490  0.490  0.000  0.58
Ca  0.002  0.002  0.000  -0.01
Ca  0.708  0.208  0.500  0.01



Entry 13:
Compound: CrNiPCl2
Source: the Alexandria database
Functional: PBE-GGA
Structure: relaxed

Output
E above lowest polymorph, meV per atom: 0.0
Formation energy from raw total energies, meV/atom: 324.1
Fermi-level density of states, states/eV/cell: 3.42
Symmetry: P4/mmm (123)

a b c (Å): 4.582 4.582 4.570
angles (deg): 90.00 90.00 90.00
Site moments in Bohr magnetons follow the coordinates.
Fractional positions:
Ni  0.000  0.000  0.000  -0.12
Cl  0.000  0.500  0.000  -0.05
Cl  0.500  0.000  0.000  -0.05
P  0.000  0.000  0.500  -0.38
Cr  0.500  0.500  0.500  4.03



Entry 14:
Compound: Ca2TaAg
Source: the Alexandria database
Functional: PBE-GGA
Structure: relaxed

Output
E above lowest polymorph, meV per atom: 286.0
Fermi-level density of states, states/eV/cell: 4.29
Symmetry: C2/m (12)

a b c (Å): 5.577 5.577 5.940
angles (deg): 79.00 79.00 32.25
Fractional positions:
Ca  0.989  0.989  0.997
Ca  0.511  0.511  0.503
Ag  0.250  0.250  0.250
Ta  0.750  0.750  0.750



Entry 15:
Compound: Mo2HOsRh
Source: the Alexandria database
Functional: PBE-GGA
Structure: relaxed

Output
E above lowest polymorph, meV per atom: 23.3
Fermi-level density of states, states/eV/cell: 2.71
Symmetry: P4/mmm (123)

a b c (Å): 3.987 3.987 3.901
angles (deg): 90.00 90.00 90.00
Fractional positions:
Rh  0.500  0.500  0.500
Mo  0.000  0.500  0.000
Mo  0.500  0.000  0.000
Os  0.000  0.000  0.500
H  0.000  0.000  0.000



Entry 16:
Compound: EuThTlPb
Source: the Alexandria database
Functional: PBE-GGA
Structure: relaxed

Output
Final energy, eV per atom: -6.1854
Fermi-level density of states, states/eV/cell: 3.69
Symmetry: F-43m (216)

a b c (Å): 5.578 5.578 5.578
angles (deg): 60.00 60.00 60.00
Site moments in Bohr magnetons follow the coordinates.
Fractional positions:
Pb  0.000  0.000  0.000  -0.01
Eu  0.750  0.750  0.750  6.83
Tl  0.500  0.500  0.500  0.00
Th  0.250  0.250  0.250  0.11



Entry 17:
Compound: CuSi2Ni
Source: the Alexandria database
Functional: PBE-GGA
Structure: relaxed

Output
Formation energy from raw total energies, meV/atom: -52.7
Fermi-level density of states, states/eV/cell: 1.67
Symmetry: P4/mmm (123)

a b c (Å): 2.603 2.603 7.227
angles (deg): 90.00 90.00 90.00
Fractional positions:
Cu  0.500  0.500  0.250
Ni  0.500  0.500  0.750
Si  0.000  0.000  0.981
Si  0.000  0.000  0.519



Entry 18:
Compound: CaThIn2
Source: the Alexandria database
Functional: PBE-GGA
Structure: relaxed

Output
Final energy, eV per atom: -4.0312
Fermi-level density of states, states/eV/cell: 3.05
Symmetry: P4/mmm (123)

a b c (Å): 4.383 5.137 5.137
angles (deg): 90.00 90.00 90.00
Fractional positions:
Ca  0.500  0.000  0.000
Th  0.500  0.500  0.500
In  0.000  0.000  0.500
In  0.000  0.500  0.000



Entry 19:
Compound: CdS2I
Source: the Alexandria database
Functional: PBE-GGA
Structure: relaxed

Output
E above lowest polymorph, meV per atom: 0.0
Formation energy from raw total energies, meV/atom: -67.7
Fermi-level density of states, states/eV/cell: 2.41
Symmetry: R-3m (166)

a b c (Å): 8.241 8.241 8.241
angles (deg): 28.10 28.10 28.10
Fractional positions:
I  0.000  0.000  0.000
S  0.892  0.892  0.892
S  0.108  0.108  0.108
Cd  0.500  0.500  0.500



Entry 20:
Compound: V6CrSn
Source: the Alexandria database
Functional: PBE-GGA
Structure: relaxed

Output
Final energy, eV per atom: -8.5379
Fermi-level density of states, states/eV/cell: 11.13
Symmetry: Amm2 (38)

a b c (Å): 4.207 5.335 5.335
angles (deg): 109.22 90.00 90.00
Fractional positions:
V  0.000  0.132  0.379
V  0.000  0.621  0.868
V  0.000  0.625  0.375
V  0.500  0.407  0.159
V  0.500  0.841  0.593
V  0.500  0.880  0.120
Cr  0.500  0.371  0.629
Sn  0.000  0.123  0.877



Entry 21:
Compound: SrHgOs2
Source: the Alexandria database
Functional: PBE-GGA
Structure: relaxed

Output
Final energy, eV per atom: -5.0732
Fermi-level density of states, states/eV/cell: 4.15
Symmetry: F-43m (216)

a b c (Å): 4.800 4.800 4.800
angles (deg): 120.04 120.04 89.94
Fractional positions:
Hg  0.750  0.250  0.500
Os  0.000  0.000  0.000
Os  0.250  0.750  0.500
Sr  0.500  0.500  0.000



Entry 22:
Compound: PmTh2Tl
Source: the Alexandria database
Functional: PBE-GGA
Structure: relaxed

Output
E above lowest polymorph, meV per atom: 146.8
Fermi-level density of states, states/eV/cell: 5.54
Symmetry: P4/mmm (123)

a b c (Å): 3.523 3.523 10.212
angles (deg): 90.00 90.00 90.00
Fractional positions:
Tl  0.500  0.500  0.000
Th  0.000  0.000  0.765
Th  0.000  0.000  0.235
Pm  0.500  0.500  0.500



Entry 23:
Compound: LiYCd3
Source: the Alexandria database
Functional: PBE-GGA
Structure: relaxed

Output
E above lowest polymorph, meV per atom: 0.0
Fermi-level density of states, states/eV/cell: 11.55
Symmetry: Pm-3m (221)

a b c (Å): 6.991 6.991 6.991
angles (deg): 90.00 90.00 90.00
Fractional positions:
Li  0.500  0.000  0.000
Li  0.000  0.500  0.000
Li  0.000  0.000  0.500
Y  0.000  0.500  0.500
Y  0.500  0.000  0.500
Y  0.500  0.500  0.000
Cd  0.500  0.500  0.500
Cd  0.217  0.217  0.217
Cd  0.783  0.783  0.217
Cd  0.783  0.217  0.783
Cd  0.217  0.783  0.783
Cd  0.217  0.217  0.783
Cd  0.783  0.783  0.783
Cd  0.217  0.783  0.217
Cd  0.783  0.217  0.217



Entry 24:
Compound: CaBS
Source: the Alexandria database
Functional: PBE-GGA
Structure: relaxed

Output
E above lowest polymorph, meV per atom: 142.9
Formation energy from raw total energies, meV/atom: -818.7
Fermi-level density of states, states/eV/cell: 0.16
Symmetry: Cm (8)

a b c (Å): 4.136 7.568 8.300
angles (deg): 90.00 118.57 90.00
Fractional positions:
Ca  0.030  0.253  0.189
Ca  0.030  0.747  0.189
Ca  0.030  0.753  0.689
Ca  0.030  0.247  0.689
B  0.595  0.000  0.395
B  0.595  0.500  0.895
B  0.463  0.000  0.537
B  0.463  0.500  0.037
S  0.610  0.000  0.784
S  0.610  0.500  0.284
S  0.496  0.000  0.157
S  0.496  0.500  0.657



Entry 25:
Compound: AlIn3Ru
Source: the Alexandria database
Functional: PBE-GGA
Structure: relaxed

Output
E above lowest polymorph, meV per atom: 0.0
Fermi-level density of states, states/eV/cell: 2.23
Symmetry: Pm-3m (221)

a b c (Å): 5.159 5.159 5.159
angles (deg): 90.00 90.00 90.00
Fractional positions:
Ru  0.000  0.000  0.000
Al  0.500  0.500  0.500
In  0.000  0.500  0.000
In  0.000  0.000  0.500
In  0.500  0.000  0.000



Entry 26:
Compound: Li2NdCdAg
Source: the Alexandria database
Functional: PBE-GGA
Structure: relaxed

Output
Final energy, eV per atom: -2.6192
Fermi-level density of states, states/eV/cell: 2.67
Symmetry: Imm2 (44)

a b c (Å): 3.814 4.548 7.070
angles (deg): 108.76 105.65 90.00
Fractional positions:
Li  0.709  0.209  0.418
Li  0.051  0.051  0.102
Nd  0.439  0.439  0.878
Cd  0.171  0.671  0.341
Ag  0.843  0.843  0.685



| no. | volume (A^3/atom) | M_tot (μB per formula unit) |
| --- | --- | --- |
| 1 | 30.7 | 0.00 |
| 2 | 26.3 | 0.00 |
| 3 | 13.4 | 0.00 |
| 4 | 23.8 | 0.00 |
| 5 | 22.4 | 0.00 |
| 6 | 19.6 | 0.00 |
| 7 | 16.7 | 0.00 |
| 8 | 22.4 | 0.00 |
| 9 | 13.2 | 0.04 |
| 10 | 96.3 | 1.53 |
| 11 | 25.1 | 0.00 |
| 12 | 29.6 | 0.66 |
| 13 | 19.2 | 3.43 |
| 14 | 24.2 | 0.00 |
| 15 | 12.4 | 0.00 |
| 16 | 30.7 | 7.32 |
| 17 | 12.2 | 0.00 |
| 18 | 28.9 | 0.00 |
| 19 | 27.4 | 0.00 |
| 20 | 14.1 | 0.00 |
| 21 | 19.5 | 0.00 |
| 22 | 31.7 | 0.00 |
| 23 | 22.8 | 0.00 |
| 24 | 19.0 | 0.00 |
| 25 | 27.5 | 0.00 |
| 26 | 22.3 | 0.00 |